DFT (PBE) results for a geometry-optimized Cd3Ru structure.

Magnetic moment in μB per formula unit: 1.00
Density in g/cm³: 9.65
Crystal system: orthorhombic
SG: Cmmm
ΔE_f in eV/atom: 0.239

a = 5.1952 Å, b = 5.1952 Å, c = 3.0036 Å
α = 90.00°, β = 90.00°, γ = 111.49°
Last column: nearest neighbours and their distance in Å.
Fractional coordinates of all 4 atoms:
Cd1 0.0000 0.0000 0.0000  2 Ru 2.92, 10 Cd 3.00
Cd2 0.0000 0.5000 0.5000  8 Cd 2.92-3.00, 4 Ru 3.00
Cd3 0.5000 0.0000 0.5000  8 Cd 2.92-3.00, 4 Ru 3.00
Ru1 0.5000 0.5000 0.0000  10 Cd 2.92-3.00, 2 Ru 3.00

---

DFT (PBE) results for a geometry-optimized LuPuTiIn structure.

Magnetic moment in μB per formula unit: 4.08
Density in g/cm³: 10.04
Crystal system: cubic
SG: F-43m
ΔE_f in eV/atom: 0.086

a = 5.1426 Å, b = 5.1426 Å, c = 5.1426 Å
α = 60.00°, β = 60.00°, γ = 60.00°
Last column: nearest neighbours and their distance in Å.
Fractional coordinates of all 4 atoms:
Ti1 0.2500 0.2500 0.2500  4 Lu 3.15, 4 Pu 3.15
Lu1 0.5000 0.5000 0.5000  4 In 3.15, 4 Ti 3.15
In1 0.7500 0.7500 0.7500  4 Pu 3.15, 4 Lu 3.15
Pu1 0.0000 0.0000 0.0000  4 Ti 3.15, 4 In 3.15

---

DFT (PBE) results for a geometry-optimized AcHo2SiN4 structure.

Formation energy from raw total energies in meV per atom: -1360
Magnetic moment in μB per formula unit: 0.00
Density in g/cm³: 9.08
Crystal system: orthorhombic
SG: Cmcm

a = 3.4558 Å, b = 6.1351 Å, c = 11.5189 Å
α = 90.00°, β = 90.00°, γ = 106.36°
Last column: nearest neighbours and their distance in Å.
Fractional coordinates of all 16 atoms:
Ac1 0.0865 0.1729 0.7500  8 N 2.81-3.05, 1 Si 3.12
Ac2 0.9135 0.8271 0.2500  8 N 2.81-3.05, 1 Si 3.12
Ho1 0.3685 0.7370 0.5423  6 N 2.31-2.51
Ho2 0.6315 0.2630 0.0423  6 N 2.31-2.51
Ho3 0.6315 0.2630 0.4577  6 N 2.31-2.51
Ho4 0.3685 0.7370 0.9577  6 N 2.31-2.51
Si1 0.8214 0.6428 0.7500  2 N 1.74
Si2 0.1786 0.3572 0.2500  2 N 1.74
N1 0.2630 0.5260 0.1264  1 Si 1.74
N2 0.7370 0.4740 0.6264  1 Si 1.74
N3 0.7370 0.4740 0.8736  1 Si 1.74
N4 0.2630 0.5260 0.3736  1 Si 1.74
N5 0.0000 0.0000 0.5000  4 Ho 2.37
N6 0.0000 0.0000 0.0000  4 Ho 2.37
N7 0.3986 0.7973 0.7500  2 Si 1.95
N8 0.6014 0.2027 0.2500  2 Si 1.95

---

DFT (PBE) results for a geometry-optimized AcPr5Ho2Tm structure.

Magnetic moment in μB per formula unit: 0.00
Density in g/cm³: 7.24
Crystal system: orthorhombic
SG: Cmc2_1
ΔE_f in eV/atom: 0.143

a = 5.5843 Å, b = 12.6255 Å, c = 9.5393 Å
α = 90.00°, β = 90.00°, γ = 102.78°
Last column: nearest neighbours and their distance in Å.
Fractional coordinates of all 18 atoms:
Ac1 0.6023 0.2046 0.9257  5 Pr 3.48-3.76
Ac2 0.3977 0.7954 0.4257  5 Pr 3.48-3.76
Pr1 0.3921 0.7843 0.0317  4 Pr 3.34-3.68, 4 Ho 3.52-3.66
Pr2 0.7412 0.4824 0.8592  3 Tm 3.17-3.25, 1 Ac 3.48, 2 Pr 3.52
Pr3 0.4755 0.9510 0.7554  3 Pr 3.34-3.57, 2 Ac 3.52-3.68, 2 Ho 3.54
Pr4 0.3100 0.6200 0.7204  3 Ho 3.35-3.44, 3 Tm 3.49-3.51, 4 Pr 3.52-3.67, 1 Ac 3.55
Pr5 0.0108 0.0215 0.5400  2 Ho 3.50-3.82, 6 Pr 3.57-3.91
Pr6 0.6079 0.2157 0.5317  4 Pr 3.34-3.68, 4 Ho 3.52-3.66
Pr7 0.2588 0.5176 0.3592  3 Tm 3.17-3.25, 1 Ac 3.48, 2 Pr 3.52
Pr8 0.5245 0.0490 0.2554  3 Pr 3.34-3.57, 2 Ac 3.52-3.68, 2 Ho 3.54
Pr9 0.6900 0.3800 0.2204  3 Ho 3.35-3.44, 3 Tm 3.49-3.51, 4 Pr 3.52-3.67, 1 Ac 3.55
Pr10 0.9892 0.9785 0.0400  2 Ho 3.50-3.82, 6 Pr 3.57-3.91
Ho1 0.8877 0.7753 0.7837  9 Pr 3.44-3.82
Ho2 0.1749 0.3499 0.6752  6 Pr 3.35-3.68, 1 Tm 3.73
Ho3 0.1123 0.2247 0.2837  9 Pr 3.44-3.82
Ho4 0.8251 0.6501 0.1752  6 Pr 3.35-3.68, 1 Tm 3.73
Tm1 0.7639 0.5278 0.5326  6 Pr 3.17-3.51
Tm2 0.2361 0.4722 0.0326  6 Pr 3.17-3.51

---

DFT (PBE) results for a geometry-optimized BaPbSe2Br structure.

Formation energy from raw total energies in meV per atom: -935
Magnetic moment in μB per formula unit: 0.00
Density in g/cm³: 5.47
Crystal system: tetragonal
SG: P4/mmm
Energy above the lowest structure with this stoichiometry in meV/atom: 0

a = 5.5633 Å, b = 5.5633 Å, c = 5.7171 Å
α = 90.00°, β = 90.00°, γ = 90.00°
Last column: nearest neighbours and their distance in Å.
Fractional coordinates of all 5 atoms:
Pb1 0.0000 0.0000 0.0000  4 Se 2.78, 2 Br 2.86
Se1 0.0000 0.5000 0.0000  2 Pb 2.78
Se2 0.5000 0.0000 0.0000  2 Pb 2.78
Ba1 0.5000 0.5000 0.5000  4 Br 3.93, 8 Se 3.99
Br1 0.0000 0.0000 0.5000  2 Pb 2.86

---

DFT (PBE) results for a geometry-optimized SiAsAu3 structure.

Formation energy from raw total energies in meV per atom: 729
Magnetic moment in μB per formula unit: 0.00
Density in g/cm³: 9.68
Crystal system: cubic
SG: Pm-3m
Energy above the lowest structure with this stoichiometry in meV/atom: 181

a = 4.9190 Å, b = 4.9190 Å, c = 4.9190 Å
α = 90.00°, β = 90.00°, γ = 90.00°
Last column: nearest neighbours and their distance in Å.
Fractional coordinates of all 5 atoms:
As1 0.0000 0.0000 0.0000  6 Au 2.46
Au1 0.0000 0.5000 0.0000  2 As 2.46
Au2 0.0000 0.0000 0.5000  2 As 2.46
Au3 0.5000 0.0000 0.0000  2 As 2.46
Si1 0.5000 0.5000 0.5000  12 Au 3.48

---

- Which value of magnetic moment does entry 6 give?
  0.00 μB per formula unit